No. 1
# Mg4In3Hg8 | the Alexandria database | GGA-PBE | relaxed
data_Mg4In3Hg8
_chemical_formula_sum 'Mg8 In6 Hg16'
_symmetry_space_group_name_H-M 'C 1 2/m 1'
_symmetry_Int_Tables_number 12
_cell_length_a 11.999
_cell_length_b 11.964
_cell_length_c 6.548
_cell_angle_alpha 90.00
_cell_angle_beta 123.01
_cell_angle_gamma 90.00
loop_
_symmetry_equiv_pos_as_xyz
'x,y,z'
'-x,-y,-z'
'-x,y,-z'
'x,-y,z'
'x+1/2,y+1/2,z'
'-x+1/2,-y+1/2,-z'
'-x+1/2,y+1/2,-z'
'x+1/2,-y+1/2,z'
loop_
_atom_site_label
_atom_site_type_symbol
_atom_site_fract_x
_atom_site_fract_y
_atom_site_fract_z
Mg1 Mg 0.000 0.000 0.000
Mg2 Mg 0.000 0.000 0.500
Mg3 Mg 0.250 0.250 0.000
In1 In 0.000 0.500 0.500
In2 In 0.250 0.250 0.500
Hg1 Hg 0.000 0.244 0.500
Hg2 Hg 0.000 0.261 0.000
Hg3 Hg 0.246 0.000 0.501
Hg4 Hg 0.249 0.500 0.012
# ΔH_f (0 K) (kJ/mol of formula units): -39

***

No. 2
# NpHgRu | the Alexandria database | GGA-PBE | relaxed
data_NpHgRu
_chemical_formula_sum 'Np4 Hg4 Ru4'
_symmetry_space_group_name_H-M 'I 4/m m m'
_symmetry_Int_Tables_number 139
_symmetry_space_group_name_Hall '-I 4 2'
_cell_length_a 3.134
_cell_length_b 3.134
_cell_length_c 26.363
_cell_angle_alpha 90.00
_cell_angle_beta 90.00
_cell_angle_gamma 90.00
loop_
_atom_site_label
_atom_site_type_symbol
_atom_site_fract_x
_atom_site_fract_y
_atom_site_fract_z
Np1 Np 0.000 0.000 0.152
Hg1 Hg 0.000 0.000 0.444
Ru1 Ru 0.000 0.000 0.284
# ΔH_f (0 K) (kJ/mol of formula units): 45

***

No. 3
# TmCl3 | the Alexandria database | GGA-PBE | relaxed
data_TmCl3
_chemical_formula_sum 'Tm6 Cl18'
_symmetry_space_group_name_H-M 'R -3 c'
_symmetry_Int_Tables_number 167
_symmetry_space_group_name_Hall '-R 3 2"c'
_cell_length_a 6.6579
_cell_length_b 6.6579
_cell_length_c 18.0434
_cell_angle_alpha 90.00
_cell_angle_beta 90.00
_cell_angle_gamma 120.00
loop_
_atom_site_label
_atom_site_type_symbol
_atom_site_fract_x
_atom_site_fract_y
_atom_site_fract_z
Tm1 Tm 0.0000 0.0000 0.0000
Cl1 Cl 0.0000 0.3571 0.2500
# E_form (uncorrected) (meV per atom): -2246

***

No. 4
# YTm4TlS8 | the Alexandria database | GGA-PBE | relaxed
data_YTm4TlS8
_chemical_formula_sum 'Y3 Tm12 Tl3 S24'
_symmetry_space_group_name_H-M 'R 3 m'
_symmetry_Int_Tables_number 160
_symmetry_space_group_name_Hall 'R 3 -2"'
_cell_length_a 8.1013
_cell_length_b 8.1013
_cell_length_c 20.0765
_cell_angle_alpha 90.00
_cell_angle_beta 90.00
_cell_angle_gamma 120.00
loop_
_atom_site_label
_atom_site_type_symbol
_atom_site_fract_x
_atom_site_fract_y
_atom_site_fract_z
Y1 Y 0.0000 0.0000 0.0000
Tm1 Tm 0.0000 0.0000 0.6210
Tm2 Tm 0.1721 0.3442 0.8274
Tl1 Tl 0.0000 0.0000 0.3686
S1 S 0.0000 0.0000 0.2277
S2 S 0.0000 0.0000 0.7530
S3 S 0.0421 0.5210 0.7526
S4 S 0.1757 0.3514 0.5756
# E_form (uncorrected) (meV per atom): -1809

***

Number 2 is which compound? NpHgRu

***

Which formula does entry 2 have? NpHgRu